# 1
Material: CaPr4Y
Method: DFT, PBE
State: relaxed

Geometry as extended XYZ:
```
6
Lattice="6.853 0.000 0.000 3.426 5.935 0.000 3.426 1.978 5.595" Properties=species:S:1:pos:R:3 pbc="T T T"
Pr 6.853 3.957 0.670
Pr 6.853 1.950 3.507
Pr 8.590 4.960 3.507
Pr 5.116 4.960 3.507
Y 0.000 0.000 0.000
Ca 3.426 1.978 1.399
```

Summary:
As for the formation enthalpy at 0 K: 0.2024 eV per atom. The calculation puts the density of states at the Fermi level at 1.72 states/eV/atom. As for the volume: 227.6 Å³/f.u. For the total energy, the calculation gives -4.3949 eV per atom. The calculation puts the spin magnetization at 0.000 μB per atom.

=====

# 2
Material: CaPr2Y
Method: DFT, PBE
State: relaxed

Geometry as extended XYZ:
```
4
Lattice="-3.001 -1.877 1.081 1.183 -0.260 -3.497 7.045 -9.487 3.089" Properties=species:S:1:pos:R:3 pbc="T T T"
Y 4.150 -5.218 -1.346
Pr 1.085 -3.511 -0.549
Pr 4.422 -8.004 0.914
Ca -2.167 -1.554 0.169
```

Summary:
As for the formation enthalpy at 0 K: 0.0185 eV per atom. The calculation puts the density of states at the Fermi level at 1.35 states/eV/atom. As for the volume: 144.9 Å³/f.u. For the total energy, the calculation gives -4.4877 eV per atom. The calculation puts the spin magnetization at 0.000 μB per atom.

=====

# 3
Material: Ca2Pr2Y
Method: DFT, PBE
State: relaxed

Geometry as extended XYZ:
```
5
Lattice="4.659 0.000 0.000 0.000 4.659 0.000 -2.329 -2.329 8.847" Properties=species:S:1:pos:R:3 pbc="T T T"
Pr 0.000 0.000 7.279
Pr 2.329 2.329 1.568
Ca 0.000 2.329 4.424
Ca 2.329 0.000 4.424
Y 0.000 0.000 0.000
```

Summary:
As for the formation enthalpy at 0 K: 0.3595 eV per atom. The calculation puts the density of states at the Fermi level at 1.42 states/eV/atom. As for the volume: 192.0 Å³/f.u. For the total energy, the calculation gives -3.6457 eV per atom. The calculation puts the spin magnetization at 0.000 μB per atom.

=====

# 4
Material: CaPrY2
Method: DFT, PBE
State: relaxed

Geometry as extended XYZ:
```
4
Lattice="-4.109 -3.310 2.472 -1.332 -5.188 -2.293 1.490 -4.890 2.796" Properties=species:S:1:pos:R:3 pbc="T T T"
Pr 0.000 0.000 0.000
Y -2.963 -10.041 2.232
Y -0.988 -3.347 0.744
Ca -1.975 -6.694 1.488
```

Summary:
As for the formation enthalpy at 0 K: 0.1491 eV per atom. The calculation puts the density of states at the Fermi level at 1.83 states/eV/atom. As for the volume: 139.9 Å³/f.u. For the total energy, the calculation gives -4.7782 eV per atom. The calculation puts the spin magnetization at 0.013 μB per atom.

=====

# 5
Material: CaPr9Y2
Method: DFT, PBE
State: relaxed

Geometry as extended XYZ:
```
12
Lattice="-1.371 0.508 5.019 3.152 -3.974 1.263 11.839 10.093 2.212" Properties=species:S:1:pos:R:3 pbc="T T T"
Pr 0.891 -1.733 3.141
Pr 7.496 3.059 1.737
Pr 9.121 8.613 4.341
Pr 1.348 1.987 2.889
Pr 3.609 -0.254 1.011
Pr 11.382 6.372 2.463
Pr 8.770 4.984 4.613
Pr 4.851 1.643 3.881
Pr 5.234 5.300 3.615
Y 3.957 3.373 0.739
Y 7.882 6.720 1.472
Ca 0.000 0.000 0.000
```

Summary:
As for the formation enthalpy at 0 K: 0.0254 eV per atom. The calculation puts the density of states at the Fermi level at 1.59 states/eV/atom. As for the volume: 429.4 Å³/f.u. For the total energy, the calculation gives -4.8033 eV per atom. The calculation puts the spin magnetization at 0.000 μB per atom.

=====

# 6
Material: CaPrY2
Method: DFT, PBE
State: relaxed

Geometry as extended XYZ:
```
4
Lattice="-2.758 1.953 1.402 -2.459 -1.609 2.180 5.074 2.796 10.857" Properties=species:S:1:pos:R:3 pbc="T T T"
Y 3.439 2.153 8.537
Y -0.103 0.758 3.514
Ca -0.081 1.566 7.206
Pr -3.468 0.233 2.402
```

Summary:
As for the formation enthalpy at 0 K: 0.0549 eV per atom. The calculation puts the density of states at the Fermi level at 1.70 states/eV/atom. As for the volume: 140.6 Å³/f.u. For the total energy, the calculation gives -4.8724 eV per atom. The calculation puts the spin magnetization at 0.000 μB per atom.